No. 1
Below is a relaxed ErMgSn crystal, with properties calculated at the PBE level.

Lattice parameters (Å, degrees): 4.363 4.363 7.946 90.00 90.00 90.00
Fractional coordinates of all 6 atoms:
Mg 0.500 0.500 0.500
Mg 0.000 0.000 0.500
Er 0.000 0.500 0.853
Er 0.500 0.000 0.147
Sn 0.000 0.500 0.243
Sn 0.500 0.000 0.757

Computed properties:
Space group: P4/nmm
Energy of formation from the pure elements (eV/atom): -0.477



No. 2
Below is a relaxed Sr3IO7 crystal, with properties calculated at the PBE level.

Lattice parameters (Å, degrees): 5.743 5.743 6.290 67.90 67.90 89.07
Site moments in Bohr magnetons follow the coordinates.
Fractional coordinates of all 11 atoms:
O 0.691 0.032 0.219  0.04
O 0.487 0.487 0.393  0.64
O 0.984 0.338 0.758  0.06
O 0.861 0.861 0.832  0.00
O 0.338 0.984 0.758  0.06
O 0.032 0.691 0.219  0.04
O 0.171 0.171 0.128  0.00
Sr 0.239 0.796 0.481  -0.01
Sr 0.514 0.514 0.996  0.00
Sr 0.796 0.239 0.481  -0.01
I 0.012 0.012 0.985  0.00

Computed properties:
E_form (uncorrected) (meV per atom): -1744
Space group: Cm



Calculated total magnetization, 0.0; 1.0 μB/f.u. (same order as the records).